# 1
La2Tb3Nd3 PBE-GGA relaxed; volume = 561.2 Å³/cell; ΔH_f (0 K) = 120 meV/atom; DOS at the Fermi energy = 1.494 states/eV per atom; crystal system = orthorhombic; SG = No. 63; magnetization = 0.0 μB/cell
1.0
-3.469 -0.197 1.066
0.254 -6.248 -6.523
4.310 -12.123 11.779
Nd La Tb
6 4 6
Direct
0.395 0.789 0.250
0.352 0.704 0.492
0.605 0.211 0.750
0.352 0.704 0.008
0.648 0.296 0.508
0.648 0.296 0.992
0.224 0.448 0.152
0.776 0.552 0.652
0.224 0.448 0.348
0.776 0.552 0.848
0.582 0.163 0.250
0.996 0.993 0.899
0.004 0.007 0.101
0.418 0.837 0.750
0.996 0.993 0.601
0.004 0.007 0.399


# 2
Tb3CePb4 PBE-GGA relaxed; volume = 229.9 Å³/cell; ΔH_f (0 K) = -439 meV/atom; DOS at the Fermi energy = 1.399 states/eV per atom; crystal system = monoclinic; SG = No. 12; magnetization = 1.9 μB/cell
1.0
5.562 -0.591 -1.304
-0.987 5.510 -1.279
-0.483 -0.548 7.926
Pb Ce Tb
4 1 3
Direct
0.128 0.128 0.255
0.628 0.628 0.255
0.372 0.372 0.745
0.872 0.872 0.745
0.500 0.000 0.000
0.751 0.251 0.503
0.249 0.749 0.497
0.000 0.500 0.000


# 3
LiErHgIr PBE-GGA relaxed; volume = 76.9 Å³/cell; ΔH_f (0 K) = -354 meV/atom; DOS at the Fermi energy = 0.815 states/eV per atom; crystal system = cubic; SG = No. 216; magnetization = 0.0 μB/cell
1.0
4.774 0.000 0.000
2.387 4.134 0.000
2.387 1.378 3.898
Ir Li Er Hg
1 1 1 1
Direct
0.000 0.000 0.000
0.250 0.250 0.250
0.750 0.750 0.750
0.500 0.500 0.500


Question: What is the formula in the second record?
Answer: Tb3CePb4